Below is crystalline RbDyGaSe3 at its relaxed geometry, with properties calculated at the PBE-GGA level.

Values from the calculation:
* space-group type: Cmcm (63)
* electronic total energy: -52.91 eV for the cell shown
* density: 4.95 g/cm3

Unit cell a=7.790 b=7.790 c=10.954 alpha=90.00 beta=90.00 gamma=145.98
Element x y z (fractional)
Se1 0.061 0.939 0.250
Se2 0.381 0.619 0.063
Se3 0.939 0.061 0.750
Se4 0.381 0.619 0.437
Se5 0.619 0.381 0.563
Se6 0.619 0.381 0.937
Ga1 0.517 0.483 0.750
Ga2 0.483 0.517 0.250
Dy1 0.000 0.000 0.000
Dy2 0.000 0.000 0.500
Rb1 0.747 0.253 0.250
Rb2 0.253 0.747 0.750

---

Below is crystalline RbDyGaSe3 at its relaxed geometry, with properties calculated at the PBE-GGA level.

Values from the calculation:
* space-group type: Pnma (62)
* electronic total energy: -105.80 eV for the cell shown
* density: 4.76 g/cm3

Unit cell a=15.312 b=4.597 c=10.996 alpha=90.00 beta=90.00 gamma=90.00
Element x y z (fractional)
Ga1 0.006 0.750 0.108
Ga2 0.506 0.750 0.392
Ga3 0.994 0.250 0.892
Ga4 0.494 0.250 0.608
Rb1 0.765 0.250 0.043
Rb2 0.265 0.250 0.457
Rb3 0.235 0.750 0.957
Rb4 0.735 0.750 0.543
Se1 0.076 0.250 0.113
Se2 0.622 0.250 0.752
Se3 0.592 0.750 0.082
Se4 0.378 0.750 0.248
Se5 0.408 0.250 0.918
Se6 0.576 0.250 0.387
Se7 0.878 0.750 0.252
Se8 0.092 0.750 0.418
Se9 0.924 0.750 0.887
Se10 0.122 0.250 0.748
Se11 0.424 0.750 0.613
Se12 0.908 0.250 0.582
Dy1 0.981 0.250 0.350
Dy2 0.481 0.250 0.150
Dy3 0.019 0.750 0.650
Dy4 0.519 0.750 0.850

---

Below is crystalline RbDyGaTe3 at its relaxed geometry, with properties calculated at the PBE-GGA level.

Values from the calculation:
* space-group type: Cmcm (63)
* electronic total energy: -47.38 eV for the cell shown
* density: 5.17 g/cm3

Unit cell a=8.334 b=8.334 c=11.744 alpha=90.00 beta=90.00 gamma=146.49
Element x y z (fractional)
Te1 0.877 0.123 0.057
Te2 0.123 0.877 0.557
Te3 0.123 0.877 0.943
Te4 0.438 0.562 0.750
Te5 0.877 0.123 0.443
Te6 0.562 0.438 0.250
Dy1 0.500 0.500 0.500
Dy2 0.500 0.500 0.000
Rb1 0.749 0.251 0.750
Rb2 0.251 0.749 0.250
Ga1 0.977 0.023 0.250
Ga2 0.023 0.977 0.750

---

Below is crystalline Dy4GaSbS9 at its relaxed geometry, with properties calculated at the PBE-GGA level.

Values from the calculation:
* space-group type: Aea2 (41)
* electronic total energy: -343.49 eV for the cell shown
* density: 5.67 g/cm3

Unit cell a=13.518 b=9.895 c=9.895 alpha=88.79 beta=90.00 gamma=90.00
Element x y z (fractional)
S1 0.082 0.348 0.159
S2 0.000 0.505 0.505
S3 0.014 0.886 0.495
S4 0.746 0.881 0.997
S5 0.697 0.206 0.181
S6 0.486 0.386 0.995
S7 0.745 0.391 0.857
S8 0.918 0.159 0.348
S9 0.099 0.981 0.163
S10 0.754 0.381 0.497
S11 0.901 0.163 0.981
S12 0.190 0.679 0.079
S13 0.245 0.357 0.891
S14 0.803 0.706 0.681
S15 0.690 0.579 0.179
S16 0.418 0.848 0.659
S17 0.401 0.481 0.663
S18 0.810 0.079 0.679
S19 0.930 0.680 0.190
S20 0.986 0.495 0.886
S21 0.255 0.857 0.391
S22 0.310 0.179 0.579
S23 0.000 0.877 0.877
S24 0.500 0.377 0.377
S25 0.514 0.995 0.386
S26 0.582 0.659 0.848
S27 0.070 0.190 0.680
S28 0.303 0.181 0.206
S29 0.246 0.497 0.381
S30 0.500 0.005 0.005
S31 0.570 0.180 0.690
S32 0.599 0.663 0.481
S33 0.254 0.997 0.881
S34 0.430 0.690 0.180
S35 0.197 0.681 0.706
S36 0.755 0.891 0.357
Dy1 0.104 0.167 0.948
Dy2 0.186 0.958 0.626
Dy3 0.189 0.409 0.628
Dy4 0.814 0.626 0.958
Dy5 0.600 0.839 0.183
Dy6 0.604 0.448 0.667
Dy7 0.896 0.948 0.167
Dy8 0.400 0.183 0.839
Dy9 0.900 0.339 0.683
Dy10 0.811 0.628 0.409
Dy11 0.311 0.909 0.128
Dy12 0.686 0.126 0.458
Dy13 0.100 0.683 0.339
Dy14 0.689 0.128 0.909
Dy15 0.314 0.458 0.126
Dy16 0.396 0.667 0.448
Ga1 0.410 0.177 0.388
Ga2 0.090 0.677 0.888
Ga3 0.590 0.388 0.177
Ga4 0.910 0.888 0.677
Sb1 0.886 0.329 0.164
Sb2 0.614 0.829 0.664
Sb3 0.386 0.664 0.829
Sb4 0.114 0.164 0.329

---

electronic total energy of number 4 (Dy4GaSbS9)?
-343.49 eV for the cell shown